No. 1
VASP calculation (GGA-PBE) on crystalline CsAlSi3 at its relaxed geometry.

```
data_CsAlSi3
_cell_length_a 5.616
_cell_length_b 5.616
_cell_length_c 5.616
_cell_angle_alpha 90.00
_cell_angle_beta 90.00
_cell_angle_gamma 90.00
_symmetry_space_group_name_H-M 'P 1'
_symmetry_Int_Tables_number 1
loop_
_symmetry_equiv_pos_as_xyz
'x,y,z'
loop_
_atom_site_label
_atom_site_type_symbol
_atom_site_fract_x
_atom_site_fract_y
_atom_site_fract_z
_atom_site_occupancy
Cs1 Cs 0.000 0.000 0.000 1
Si1 Si 0.000 0.500 0.000 1
Si2 Si 0.000 0.000 0.500 1
Si3 Si 0.500 0.000 0.000 1
Al1 Al 0.500 0.500 0.500 1
```

Values from the calculation:
For the uncorrected formation energy, the calculation gives 2.301 eV per atom. The mass density comes out at 2.29 g/cm³. For the excess energy over the best structure of this formula in the dataset, the calculation gives 1.5454 eV/atom. Its space group is Pm-3m (221).


No. 2
VASP calculation (GGA-PBE) on crystalline CsAlSi at its relaxed geometry.

```
data_CsAlSi
_cell_length_a 13.031
_cell_length_b 4.240
_cell_length_c 8.150
_cell_angle_alpha 90.00
_cell_angle_beta 90.00
_cell_angle_gamma 90.00
_symmetry_space_group_name_H-M 'P 1'
_symmetry_Int_Tables_number 1
loop_
_symmetry_equiv_pos_as_xyz
'x,y,z'
loop_
_atom_site_label
_atom_site_type_symbol
_atom_site_fract_x
_atom_site_fract_y
_atom_site_fract_z
_atom_site_occupancy
Cs1 Cs 0.845 0.250 0.631 1
Cs2 Cs 0.655 0.750 0.131 1
Cs3 Cs 0.155 0.750 0.369 1
Cs4 Cs 0.345 0.250 0.869 1
Si1 Si 0.404 0.250 0.329 1
Si2 Si 0.096 0.750 0.829 1
Si3 Si 0.596 0.750 0.671 1
Si4 Si 0.904 0.250 0.171 1
Al1 Al 0.058 0.250 0.970 1
Al2 Al 0.442 0.750 0.470 1
Al3 Al 0.942 0.750 0.030 1
Al4 Al 0.558 0.250 0.530 1
```

Values from the calculation:
For the uncorrected formation energy, the calculation gives 0.071 eV per atom. The mass density comes out at 2.77 g/cm³. Its space group is Pnma (62).


No. 3
VASP calculation (GGA-PBE) on crystalline CsAlSi at its relaxed geometry.

```
data_CsAlSi
_cell_length_a 6.223
_cell_length_b 4.285
_cell_length_c 4.285
_cell_angle_alpha 120.00
_cell_angle_beta 90.00
_cell_angle_gamma 90.00
_symmetry_space_group_name_H-M 'P 1'
_symmetry_Int_Tables_number 1
loop_
_symmetry_equiv_pos_as_xyz
'x,y,z'
loop_
_atom_site_label
_atom_site_type_symbol
_atom_site_fract_x
_atom_site_fract_y
_atom_site_fract_z
_atom_site_occupancy
Cs1 Cs 0.667 0.667 0.333 1
Si1 Si 0.167 0.333 0.667 1
Al1 Al 0.167 0.000 0.000 1
```

Values from the calculation:
For the uncorrected formation energy, the calculation gives -0.001 eV per atom. The mass density comes out at 3.15 g/cm³. Its space group is P-6m2 (187).


No. 4
VASP calculation (GGA-PBE) on crystalline CsAlSi at its relaxed geometry.

```
data_CsAlSi
_cell_length_a 4.299
_cell_length_b 4.300
_cell_length_c 12.817
_cell_angle_alpha 91.91
_cell_angle_beta 99.35
_cell_angle_gamma 112.44
_symmetry_space_group_name_H-M 'P 1'
_symmetry_Int_Tables_number 1
loop_
_symmetry_equiv_pos_as_xyz
'x,y,z'
loop_
_atom_site_label
_atom_site_type_symbol
_atom_site_fract_x
_atom_site_fract_y
_atom_site_fract_z
_atom_site_occupancy
Cs1 Cs 0.075 0.207 0.799 1
Cs2 Cs 0.925 0.793 0.201 1
Si1 Si 0.621 0.466 0.592 1
Si2 Si 0.379 0.534 0.408 1
Al1 Al 0.235 0.822 0.561 1
Al2 Al 0.765 0.178 0.439 1
```

Values from the calculation:
For the uncorrected formation energy, the calculation gives 0.040 eV per atom. The mass density comes out at 2.90 g/cm³. Its space group is P-1 (2).


No. 5
VASP calculation (GGA-PBE) on crystalline CsAlSi at its relaxed geometry.

```
data_CsAlSi
_cell_length_a 4.286
_cell_length_b 4.287
_cell_length_c 12.340
_cell_angle_alpha 90.00
_cell_angle_beta 95.63
_cell_angle_gamma 90.00
_symmetry_space_group_name_H-M 'P 1'
_symmetry_Int_Tables_number 1
loop_
_symmetry_equiv_pos_as_xyz
'x,y,z'
loop_
_atom_site_label
_atom_site_type_symbol
_atom_site_fract_x
_atom_site_fract_y
_atom_site_fract_z
_atom_site_occupancy
Cs1 Cs 0.327 0.250 0.273 1
Cs2 Cs 0.673 0.750 0.727 1
Si1 Si 0.216 0.250 0.881 1
Si2 Si 0.784 0.750 0.119 1
Al1 Al 0.750 0.250 0.000 1
Al2 Al 0.250 0.750 0.000 1
```

Values from the calculation:
For the uncorrected formation energy, the calculation gives -0.066 eV per atom. The mass density comes out at 2.77 g/cm³. Its space group is P2_1/m (11).


No. 6
VASP calculation (GGA-PBE) on crystalline CsAlSi at its relaxed geometry.

```
data_CsAlSi
_cell_length_a 13.193
_cell_length_b 5.822
_cell_length_c 7.399
_cell_angle_alpha 90.00
_cell_angle_beta 90.00
_cell_angle_gamma 90.00
_symmetry_space_group_name_H-M 'P 1'
_symmetry_Int_Tables_number 1
loop_
_symmetry_equiv_pos_as_xyz
'x,y,z'
loop_
_atom_site_label
_atom_site_type_symbol
_atom_site_fract_x
_atom_site_fract_y
_atom_site_fract_z
_atom_site_occupancy
Cs1 Cs 0.654 0.250 0.999 1
Cs2 Cs 0.846 0.750 0.499 1
Cs3 Cs 0.346 0.750 0.001 1
Cs4 Cs 0.154 0.250 0.501 1
Si1 Si 0.416 0.250 0.300 1
Si2 Si 0.084 0.750 0.800 1
Si3 Si 0.584 0.750 0.700 1
Si4 Si 0.916 0.250 0.200 1
Al1 Al 0.000 0.000 0.000 1
Al2 Al 0.500 0.500 0.500 1
Al3 Al 0.500 0.000 0.500 1
Al4 Al 0.000 0.500 0.000 1
```

Values from the calculation:
For the uncorrected formation energy, the calculation gives 0.221 eV per atom. The mass density comes out at 2.20 g/cm³. Its space group is Pnma (62).